The following is a PBE calculation of an optimized crystal structure of BeGaRh2I, from Alexandria.

a = 4.625 Å, b = 4.625 Å, c = 5.260 Å
α = 90.00°, β = 90.00°, γ = 90.00°
Atoms (fractional coordinates):
Be: 0.000 0.000 0.000
Ga: 0.500 0.500 0.500
Rh: 0.000 0.500 0.500
Rh: 0.500 0.000 0.500
I: 0.500 0.500 0.000

Calculated values
ΔE_f (raw) = 1.233 eV/atom
Crystal system = tetragonal
Raw total energy = -16.8 eV/cell

=====

The following is a PBE calculation of an optimized crystal structure of YCd2In, from Alexandria.

a = 5.630 Å, b = 5.630 Å, c = 5.383 Å
α = 103.79°, β = 103.79°, γ = 37.98°
Atoms (fractional coordinates):
Y: 0.000 0.000 0.000
Cd: 0.247 0.247 0.742
Cd: 0.753 0.753 0.258
In: 0.500 0.500 0.500

Calculated values
Crystal system = monoclinic
Raw total energy = -11.9 eV/cell
DFT formation energy = -0.224 eV per atom